(1)
! AlHSe2 PBE relaxed; values from VASP
! Mass density   4491 kg/m3
! E above lowest polymorph   2.11 eV/f.u.
! Space-group type   C2/m
&SYSTEM
  ibrav = 0, nat = 4, ntyp = 3
/
ATOMIC_SPECIES
Al 26.98 Al.upf
H 1.01 H.upf
Se 78.96 Se.upf
CELL_PARAMETERS angstrom
3.3008 -1.6967 0.0000
3.3008 1.6967 0.0000
-3.2822 0.0000 6.1375
ATOMIC_POSITIONS crystal
Al 0.0000 0.0000 0.0000
H 0.5000 0.5000 0.5000
Se 0.1899 0.1899 0.7557
Se 0.8101 0.8101 0.2443


(2)
! Tl2CdSb2 PBE relaxed; values from VASP
! Mass density   8037 kg/m3
! ΔE_f (raw)   0.21 eV/atom
! E above lowest polymorph   0.93 eV/f.u.
! Space-group type   I4/mmm
&SYSTEM
  ibrav = 0, nat = 5, ntyp = 3
/
ATOMIC_SPECIES
Tl 204.38 Tl.upf
Cd 112.41 Cd.upf
Sb 121.76 Sb.upf
CELL_PARAMETERS angstrom
-2.2859 2.2859 7.5590
2.2859 -2.2859 7.5590
2.2859 2.2859 -7.5590
ATOMIC_POSITIONS crystal
Tl 0.2500 0.7500 0.5000
Tl 0.7500 0.2500 0.5000
Cd 0.0000 0.0000 0.0000
Sb 0.4051 0.4051 0.0000
Sb 0.5949 0.5949 0.0000


(3)
! RbBaHg2 PBE relaxed; values from VASP
! Mass density   5700 kg/m3
! Calculated formation energy   -0.1504 eV per atom
! Space-group type   I-42d
&SYSTEM
  ibrav = 0, nat = 8, ntyp = 3
/
ATOMIC_SPECIES
Rb 85.47 Rb.upf
Ba 137.33 Ba.upf
Hg 200.59 Hg.upf
CELL_PARAMETERS angstrom
-4.7107 4.7107 4.0956
4.7107 -4.7107 4.0956
4.7107 4.7107 -4.0956
ATOMIC_POSITIONS crystal
Rb 0.0000 0.0000 0.0000
Rb 0.7500 0.2500 0.5000
Ba 0.2500 0.7500 0.5000
Ba 0.5000 0.5000 0.0000
Hg 0.1337 0.6250 0.0087
Hg 0.3750 0.3837 0.5087
Hg 0.6163 0.1250 0.9913
Hg 0.8750 0.8663 0.4913


(4)
! CdGa2I2Br2 PBE relaxed; values from VASP
! Mass density   4536 kg/m3
! ΔE_f (raw)   -0.54 eV/atom
! Space-group type   C2/m
&SYSTEM
  ibrav = 0, nat = 7, ntyp = 4
/
ATOMIC_SPECIES
Cd 112.41 Cd.upf
Ga 69.72 Ga.upf
I 126.90 I.upf
Br 79.90 Br.upf
CELL_PARAMETERS angstrom
7.7756 -2.1550 0.0000
7.7756 2.1550 0.0000
-4.0929 0.0000 7.2691
ATOMIC_POSITIONS crystal
Cd 0.0000 0.0000 0.0000
Ga 0.1435 0.1435 0.5525
Ga 0.8565 0.8565 0.4475
I 0.4670 0.4670 0.2151
I 0.5330 0.5330 0.7849
Br 0.2067 0.2067 0.2735
Br 0.7933 0.7933 0.7265


(5)
! TbNd3Te3 PBE relaxed; values from VASP
! Mass density   7218 kg/m3
! ΔE_f (raw)   -1.10 eV/atom
! Space-group type   R-3
&SYSTEM
  ibrav = 0, nat = 14, ntyp = 3
/
ATOMIC_SPECIES
Tb 158.93 Tb.upf
Nd 144.24 Nd.upf
Te 127.60 Te.upf
CELL_PARAMETERS angstrom
4.5924 2.6514 6.1372
-4.5924 2.6514 6.1372
0.0000 -5.3028 6.1372
ATOMIC_POSITIONS crystal
Tb 0.1825 0.1825 0.1825
Tb 0.8175 0.8175 0.8175
Nd 0.1589 0.6634 0.4185
Nd 0.3366 0.5815 0.8411
Nd 0.4185 0.1589 0.6634
Nd 0.5815 0.8411 0.3366
Nd 0.6634 0.4185 0.1589
Nd 0.8411 0.3366 0.5815
Te 0.0351 0.4063 0.8201
Te 0.1799 0.9649 0.5938
Te 0.4062 0.8201 0.0351
Te 0.5938 0.1799 0.9649
Te 0.8201 0.0351 0.4062
Te 0.9649 0.5938 0.1799


(6)
! Co2AuCl PBE relaxed; values from VASP
! Mass density   7297 kg/m3
! ΔE_f (raw)   0.61 eV/atom
! E above lowest polymorph   1.67 eV/f.u.
! Space-group type   I-42d
&SYSTEM
  ibrav = 0, nat = 8, ntyp = 3
/
ATOMIC_SPECIES
Co 58.93 Co.upf
Au 196.97 Au.upf
Cl 35.45 Cl.upf
CELL_PARAMETERS angstrom
-2.7398 2.7398 5.3092
2.7398 -2.7398 5.3092
2.7398 2.7398 -5.3092
ATOMIC_POSITIONS crystal
Co 0.0809 0.6250 0.9559
Co 0.3750 0.3309 0.4559
Co 0.6691 0.1250 0.0441
Co 0.8750 0.9191 0.5441
Au 0.2500 0.7500 0.5000
Au 0.5000 0.5000 0.0000
Cl 0.0000 0.0000 0.0000
Cl 0.7500 0.2500 0.5000


(7)
! Ac3AlSn2 PBE relaxed; values from VASP
! Mass density   6984 kg/m3
! Calculated formation energy   -0.4036 eV per atom
! E above lowest polymorph   1.08 eV/f.u.
! Space-group type   R-3c
&SYSTEM
  ibrav = 0, nat = 12, ntyp = 3
/
ATOMIC_SPECIES
Ac 227.00 Ac.upf
Al 26.98 Al.upf
Sn 118.71 Sn.upf
CELL_PARAMETERS angstrom
4.6158 2.6649 6.0916
-4.6158 2.6649 6.0916
0.0000 -5.3299 6.0916
ATOMIC_POSITIONS crystal
Ac 0.0844 0.7500 0.4156
Ac 0.2500 0.5844 0.9156
Ac 0.4156 0.0844 0.7500
Ac 0.5844 0.9156 0.2500
Ac 0.7500 0.4156 0.0844
Ac 0.9156 0.2500 0.5844
Al 0.0000 0.0000 0.0000
Al 0.5000 0.5000 0.5000
Sn 0.1639 0.1639 0.1639
Sn 0.3361 0.3361 0.3361
Sn 0.6639 0.6639 0.6639
Sn 0.8361 0.8361 0.8361


(8)
! KLa2Si PBE relaxed; values from VASP
! Mass density   3747 kg/m3
! ΔE_f (raw)   -0.02 eV/atom
! Space-group type   Pm
&SYSTEM
  ibrav = 0, nat = 4, ntyp = 3
/
ATOMIC_SPECIES
K 39.10 K.upf
La 138.91 La.upf
Si 28.09 Si.upf
CELL_PARAMETERS angstrom
4.1766 0.0000 0.0000
0.0000 4.1676 0.0000
-0.5734 0.0000 8.7840
ATOMIC_POSITIONS crystal
K 0.0000 0.0000 0.0000
La 0.4374 0.5000 0.6161
La 0.9050 0.0000 0.4030
Si 0.3945 0.5000 0.2897


(9)
! TlB2Pt2 PBE relaxed; values from VASP
! Mass density   13751 kg/m3
! Calculated formation energy   -0.0322 eV per atom
! Space-group type   I4/mmm
&SYSTEM
  ibrav = 0, nat = 5, ntyp = 3
/
ATOMIC_SPECIES
Tl 204.38 Tl.upf
B 10.81 B.upf
Pt 195.08 Pt.upf
CELL_PARAMETERS angstrom
-1.6148 1.6148 7.1335
1.6148 -1.6148 7.1335
1.6148 1.6148 -7.1335
ATOMIC_POSITIONS crystal
Tl 0.0000 0.0000 0.0000
B 0.2500 0.7500 0.5000
B 0.7500 0.2500 0.5000
Pt 0.3475 0.3475 0.0000
Pt 0.6525 0.6525 0.0000


(10)
! HfNiAs PBE relaxed; values from VASP
! Mass density   11251 kg/m3
! Calculated formation energy   -0.7676 eV per atom
! Space-group type   P2_1/m
&SYSTEM
  ibrav = 0, nat = 18, ntyp = 3
/
ATOMIC_SPECIES
Hf 178.49 Hf.upf
Ni 58.69 Ni.upf
As 74.92 As.upf
CELL_PARAMETERS angstrom
6.4566 0.0000 0.0000
0.0000 3.8411 0.0000
-0.2460 0.0000 11.1443
ATOMIC_POSITIONS crystal
Hf 0.0200 0.2500 0.1191
Hf 0.1584 0.2500 0.4236
Hf 0.4751 0.7500 0.7968
Hf 0.5249 0.2500 0.2032
Hf 0.8416 0.7500 0.5764
Hf 0.9800 0.7500 0.8809
Ni 0.1318 0.2500 0.6982
Ni 0.3377 0.7500 0.0491
Ni 0.4908 0.7500 0.4111
Ni 0.5092 0.2500 0.5889
Ni 0.6623 0.2500 0.9509
Ni 0.8682 0.7500 0.3018
As 0.2276 0.7500 0.2540
As 0.2686 0.7500 0.5900
As 0.2758 0.2500 0.9230
As 0.7242 0.7500 0.0770
As 0.7314 0.2500 0.4100
As 0.7724 0.2500 0.7460


(11)
! Na2ZrO2 PBE relaxed; values from VASP
! Mass density   4235 kg/m3
! ΔE_f (raw)   -0.58 eV/atom
! E above lowest polymorph   0.39 eV/f.u.
! Space-group type   I4/mmm
&SYSTEM
  ibrav = 0, nat = 5, ntyp = 3
/
ATOMIC_SPECIES
Na 22.99 Na.upf
Zr 91.22 Zr.upf
O 16.00 O.upf
CELL_PARAMETERS angstrom
-2.0632 2.0632 3.8969
2.0632 -2.0632 3.8969
2.0632 2.0632 -3.8969
ATOMIC_POSITIONS crystal
Na 0.1525 0.1525 0.0000
Na 0.8475 0.8475 0.0000
Zr 0.5000 0.5000 0.0000
O 0.2500 0.7500 0.5000
O 0.7500 0.2500 0.5000


(12)
! Ba12In3Ag5 PBE relaxed; values from VASP
! Mass density   4102 kg/m3
! Calculated formation energy   -0.0787 eV per atom
! Space-group type   Ia-3d
&SYSTEM
  ibrav = 0, nat = 80, ntyp = 3
/
ATOMIC_SPECIES
Ba 137.33 Ba.upf
In 114.82 In.upf
Ag 107.87 Ag.upf
CELL_PARAMETERS angstrom
-10.0819 10.0819 10.0819
10.0819 -10.0819 10.0819
10.0819 10.0819 -10.0819
ATOMIC_POSITIONS crystal
Ba 0.0477 0.2207 0.1312
Ba 0.0477 0.3270 0.9164
Ba 0.0836 0.6312 0.4106
Ba 0.0836 0.9523 0.6730
Ba 0.0894 0.7207 0.6730
Ba 0.0894 0.8688 0.4164
Ba 0.1312 0.0477 0.2207
Ba 0.1312 0.5836 0.9106
Ba 0.1730 0.2207 0.5894
Ba 0.1730 0.4523 0.5836
Ba 0.2207 0.1312 0.0477
Ba 0.2207 0.5894 0.1730
Ba 0.2793 0.3270 0.9106
Ba 0.2793 0.4523 0.3688
Ba 0.3270 0.9106 0.2793
Ba 0.3270 0.9164 0.0477
Ba 0.3688 0.2793 0.4523
Ba 0.3688 0.5894 0.9164
Ba 0.4106 0.0836 0.6312
Ba 0.4106 0.8270 0.7793
Ba 0.4164 0.0894 0.8688
Ba 0.4164 0.8270 0.5477
Ba 0.4523 0.3688 0.2793
Ba 0.4523 0.5836 0.1730
Ba 0.5477 0.4164 0.8270
Ba 0.5477 0.6312 0.7207
Ba 0.5836 0.1730 0.4523
Ba 0.5836 0.9106 0.1312
Ba 0.5894 0.1730 0.2207
Ba 0.5894 0.9164 0.3688
Ba 0.6312 0.4106 0.0836
Ba 0.6312 0.7207 0.5477
Ba 0.6730 0.0836 0.9523
Ba 0.6730 0.0894 0.7207
Ba 0.7207 0.5477 0.6312
Ba 0.7207 0.6730 0.0894
Ba 0.7793 0.4106 0.8270
Ba 0.7793 0.8688 0.9523
Ba 0.8270 0.5477 0.4164
Ba 0.8270 0.7793 0.4106
Ba 0.8688 0.4164 0.0894
Ba 0.8688 0.9523 0.7793
Ba 0.9106 0.1312 0.5836
Ba 0.9106 0.2793 0.3270
Ba 0.9164 0.0477 0.3270
Ba 0.9164 0.3688 0.5894
Ba 0.9523 0.6730 0.0836
Ba 0.9523 0.7793 0.8688
In 0.1250 0.2500 0.3750
In 0.1250 0.3750 0.7500
In 0.2500 0.3750 0.1250
In 0.2500 0.8750 0.6250
In 0.3750 0.1250 0.2500
In 0.3750 0.7500 0.1250
In 0.6250 0.2500 0.8750
In 0.6250 0.8750 0.7500
In 0.7500 0.1250 0.3750
In 0.7500 0.6250 0.8750
In 0.8750 0.6250 0.2500
In 0.8750 0.7500 0.6250
Ag 0.0000 0.0000 0.0000
Ag 0.0000 0.0000 0.5000
Ag 0.0000 0.5000 0.0000
Ag 0.0000 0.5000 0.5000
Ag 0.1250 0.7500 0.8750
Ag 0.1250 0.8750 0.2500
Ag 0.2500 0.1250 0.8750
Ag 0.2500 0.6250 0.3750
Ag 0.3750 0.2500 0.6250
Ag 0.3750 0.6250 0.7500
Ag 0.5000 0.0000 0.0000
Ag 0.5000 0.0000 0.5000
Ag 0.5000 0.5000 0.0000
Ag 0.5000 0.5000 0.5000
Ag 0.6250 0.3750 0.2500
Ag 0.6250 0.7500 0.3750
Ag 0.7500 0.3750 0.6250
Ag 0.7500 0.8750 0.1250
Ag 0.8750 0.1250 0.7500
Ag 0.8750 0.2500 0.1250